## VSb2OsI (PBE)

Data for a relaxed VSb2OsI crystal.

Values from the calculation:
Density ... 7.440 g/cm³
Space group ... P4/mmm
Crystal system ... tetragonal
Formation energy without anion corrections ... 1.4435 eV/atom

Unit cell a=5.1213 b=5.1213 c=5.2047 alpha=90.00 beta=90.00 gamma=90.00
Element x y z (fractional)
1 Os 0.5000 0.5000 0.5000
2 V 0.0000 0.0000 0.0000
3 Sb 0.0000 0.5000 0.0000
4 Sb 0.5000 0.0000 0.0000
5 I 0.0000 0.0000 0.5000